Entry 1:
# BeV3Ru4 GGA-PBE optimized geometry
data_BeV3Ru4
_cell_length_a 2.974
_cell_length_b 2.974
_cell_length_c 11.734
_cell_angle_alpha 90.00
_cell_angle_beta 90.00
_cell_angle_gamma 90.00
_symmetry_space_group_name_H-M 'P 1'
_symmetry_Int_Tables_number 1
_symmetry_space_group_name_Hall 'P 1'
loop_
_atom_site_label
_atom_site_fract_x
_atom_site_fract_y
_atom_site_fract_z
Be1 0.500 0.500 0.000
Ru1 0.000 0.000 0.884
Ru2 0.000 0.000 0.116
Ru3 0.000 0.000 0.372
Ru4 0.000 0.000 0.628
V1 0.500 0.500 0.234
V2 0.500 0.500 0.500
V3 0.500 0.500 0.766
# SG	P4/mmm
# crystal system	tetragonal


Entry 2:
# BeV2RuW GGA-PBE optimized geometry
data_BeV2RuW
_cell_length_a 4.160
_cell_length_b 4.160
_cell_length_c 3.948
_cell_angle_alpha 90.00
_cell_angle_beta 90.00
_cell_angle_gamma 90.00
_symmetry_space_group_name_H-M 'P 1'
_symmetry_Int_Tables_number 1
_symmetry_space_group_name_Hall 'P 1'
loop_
_atom_site_label
_atom_site_fract_x
_atom_site_fract_y
_atom_site_fract_z
Ru1 0.000 0.000 0.500
Be1 0.000 0.000 0.000
W1 0.500 0.500 0.500
V1 0.000 0.500 0.000
V2 0.500 0.000 0.000
# SG	P4/mmm
# crystal system	tetragonal


Entry 3:
# ZrBeVRu2 GGA-PBE optimized geometry
data_ZrBeVRu2
_cell_length_a 4.743
_cell_length_b 4.590
_cell_length_c 4.743
_cell_angle_alpha 90.00
_cell_angle_beta 90.00
_cell_angle_gamma 90.00
_symmetry_space_group_name_H-M 'P 1'
_symmetry_Int_Tables_number 1
_symmetry_space_group_name_Hall 'P 1'
loop_
_atom_site_label
_atom_site_fract_x
_atom_site_fract_y
_atom_site_fract_z
Ru1 0.000 0.000 0.500
Ru2 0.500 0.000 0.000
Be1 0.500 0.500 0.500
Zr1 0.000 0.000 0.000
V1 0.000 0.500 0.000
# SG	P4/mmm
# crystal system	tetragonal


Entry 4:
# Zr2BeV2Ru5 GGA-PBE optimized geometry
data_Zr2BeV2Ru5
_cell_length_a 3.094
_cell_length_b 9.907
_cell_length_c 9.907
_cell_angle_alpha 90.00
_cell_angle_beta 90.00
_cell_angle_gamma 90.00
_symmetry_space_group_name_H-M 'P 1'
_symmetry_Int_Tables_number 1
_symmetry_space_group_name_Hall 'P 1'
loop_
_atom_site_label
_atom_site_fract_x
_atom_site_fract_y
_atom_site_fract_z
Zr1 0.000 0.670 0.170
Zr2 0.000 0.330 0.830
Zr3 0.000 0.170 0.330
Zr4 0.000 0.830 0.670
Be1 0.000 0.000 0.000
Be2 0.000 0.500 0.500
V1 0.000 0.137 0.637
V2 0.000 0.863 0.363
V3 0.000 0.637 0.863
V4 0.000 0.363 0.137
Ru1 0.500 0.189 0.060
Ru2 0.500 0.811 0.940
Ru3 0.500 0.060 0.811
Ru4 0.500 0.689 0.440
Ru5 0.500 0.940 0.189
Ru6 0.500 0.311 0.560
Ru7 0.500 0.560 0.689
Ru8 0.500 0.440 0.311
Ru9 0.500 0.500 0.000
Ru10 0.500 0.000 0.500
# SG	P4/mbm
# crystal system	tetragonal


Entry 5:
# BeRuW GGA-PBE optimized geometry
data_BeRuW
_cell_length_a 4.847
_cell_length_b 4.847
_cell_length_c 2.962
_cell_angle_alpha 72.21
_cell_angle_beta 72.21
_cell_angle_gamma 35.58
_symmetry_space_group_name_H-M 'P 1'
_symmetry_Int_Tables_number 1
_symmetry_space_group_name_Hall 'P 1'
loop_
_atom_site_label
_atom_site_fract_x
_atom_site_fract_y
_atom_site_fract_z
Ru1 0.349 0.349 0.651
W1 0.663 0.663 0.337
Be1 0.988 0.988 0.012
# relative energy among the computed polymorphs	0.000	eV/atom
# SG	I4mm
# crystal system	tetragonal


Entry 6:
# BeRu2W GGA-PBE optimized geometry
data_BeRu2W
_cell_length_a 3.834
_cell_length_b 2.759
_cell_length_c 5.824
_cell_angle_alpha 61.59
_cell_angle_beta 90.00
_cell_angle_gamma 90.00
_symmetry_space_group_name_H-M 'P 1'
_symmetry_Int_Tables_number 1
_symmetry_space_group_name_Hall 'P 1'
loop_
_atom_site_label
_atom_site_fract_x
_atom_site_fract_y
_atom_site_fract_z
Ru1 0.000 0.033 0.967
Ru2 0.500 0.240 0.259
W1 0.000 0.495 0.506
Be1 0.500 0.732 0.768
# relative energy among the computed polymorphs	0.215	eV/atom
# SG	Pm
# crystal system	monoclinic


Let's list total moment in order: 0.000; 0.000; 0.020; 0.000; 0.000; 0.000 μB per formula unit.
Let's list formation energy in order: -0.351; 0.554; 1.930; -0.199; -0.099; 0.007 eV/atom.